The following is a DFT calculation (PBE) of crystalline TbSm4Pa3P8 at its relaxed geometry.

## Properties
Total moment: 0.00 μB/cell
Calculated volume: 23.3 Å³/atom
Formation enthalpy at 0 K: -1.49 eV per atom

Cell and atoms, written as POSCAR:
```
TbSm4Pa3P8
1.0
4.034 2.329 6.601
-4.034 2.329 6.601
0.000 -4.658 6.601
Tb Sm Pa P
1 4 3 8
Direct
0.000 0.000 0.000 Tb
0.000 0.000 0.500 Sm
0.000 0.500 0.000 Sm
0.500 0.000 0.000 Sm
0.500 0.500 0.500 Sm
0.000 0.500 0.500 Pa
0.500 0.000 0.500 Pa
0.500 0.500 0.000 Pa
0.248 0.248 0.742 P
0.248 0.742 0.248 P
0.254 0.254 0.254 P
0.258 0.752 0.752 P
0.742 0.248 0.248 P
0.746 0.746 0.746 P
0.752 0.258 0.752 P
0.752 0.752 0.258 P
```